Entry 1:
# SrCu2O2 | Alexandria via LeMat-Bulk | PBE-GGA | optimized geometry
data_SrCu2O2
_chemical_formula_sum 'Sr2 Cu4 O4'
_cell_length_a 6.824
_cell_length_b 6.824
_cell_length_c 3.600
_cell_angle_alpha 90.00
_cell_angle_beta 90.00
_cell_angle_gamma 90.00
_symmetry_space_group_name_H-M 'P 1'
_symmetry_Int_Tables_number 1
_symmetry_space_group_name_Hall 'P 1'
loop_
_atom_site_label
_atom_site_type_symbol
_atom_site_fract_x
_atom_site_fract_y
_atom_site_fract_z
Cu1 Cu 0.366 0.134 0.500
Cu2 Cu 0.634 0.866 0.500
Cu3 Cu 0.134 0.634 0.500
Cu4 Cu 0.866 0.366 0.500
O1 O 0.324 0.176 0.000
O2 O 0.676 0.824 0.000
O3 O 0.824 0.324 0.000
O4 O 0.176 0.676 0.000
Sr1 Sr 0.000 0.000 0.000
Sr2 Sr 0.500 0.500 0.000
# ΔE_f (raw)   -1.07 eV per atom
# Space-group type   P4/mbm (127)

***

Entry 2:
# MgTlC3 | Alexandria via LeMat-Bulk | PBE-GGA | optimized geometry
data_MgTlC3
_chemical_formula_sum 'Mg1 Tl1 C3'
_cell_length_a 4.235
_cell_length_b 4.235
_cell_length_c 4.235
_cell_angle_alpha 90.00
_cell_angle_beta 90.00
_cell_angle_gamma 90.00
_symmetry_space_group_name_H-M 'P 1'
_symmetry_Int_Tables_number 1
_symmetry_space_group_name_Hall 'P 1'
loop_
_atom_site_label
_atom_site_type_symbol
_atom_site_fract_x
_atom_site_fract_y
_atom_site_fract_z
C1 C 0.000 0.000 0.500
C2 C 0.000 0.500 0.000
C3 C 0.500 0.000 0.000
Tl1 Tl 0.500 0.500 0.500
Mg1 Mg 0.000 0.000 0.000
# DFT formation energy   2.78 eV/atom
# Space-group type   Pm-3m (221)